# GGA-PBE Rb2LaNdSe4, optimized geometry
# - Total energy: -4.971 eV per atom
# - Energy relative to the elements, uncorrected: -1.775 eV/atom
# - Spin magnetization: 0.00 Bohr magnetons per cell
data_Rb2LaNdSe4
_cell_length_a 7.665
_cell_length_b 4.424
_cell_length_c 8.409
_cell_angle_alpha 90.00
_cell_angle_beta 107.67
_cell_angle_gamma 90.00
_symmetry_space_group_name_H-M 'P 1 2/m 1'
_symmetry_Int_Tables_number 10
loop_
_symmetry_equiv_pos_as_xyz
'x,y,z'
'-x,-y,-z'
'-x,y,-z'
'x,-y,z'
loop_
_atom_site_label
_atom_site_type_symbol
_atom_site_fract_x
_atom_site_fract_y
_atom_site_fract_z
_atom_site_occupancy
Rb1 Rb 0.000 0.000 0.000 1
Rb2 Rb 0.500 0.500 0.000 1
La1 La 0.000 0.500 0.500 1
Nd1 Nd 0.500 0.000 0.500 1
Se1 Se 0.237 0.000 0.702 1
Se2 Se 0.270 0.500 0.299 1

***

# GGA-PBE Li5NdCd4, optimized geometry
# - Formation energy from the elements: -0.174 eV per atom
# - Total energy: -1.974 eV per atom
# - Spin magnetization: 0.00 Bohr magnetons per cell
data_Li5NdCd4
_cell_length_a 3.422
_cell_length_b 3.422
_cell_length_c 17.190
_cell_angle_alpha 90.00
_cell_angle_beta 90.00
_cell_angle_gamma 90.00
_symmetry_space_group_name_H-M 'P 4/m m m'
_symmetry_Int_Tables_number 123
_symmetry_space_group_name_Hall '-P 4 2'
loop_
_atom_site_label
_atom_site_type_symbol
_atom_site_fract_x
_atom_site_fract_y
_atom_site_fract_z
_atom_site_occupancy
Li1 Li 0.000 0.000 0.000 1
Li2 Li 0.000 0.000 0.184 1
Li3 Li 0.000 0.000 0.363 1
Nd1 Nd 0.500 0.500 0.500 1
Cd1 Cd 0.500 0.500 0.094 1
Cd2 Cd 0.500 0.500 0.280 1

***

# GGA-PBE MnAlRe2, optimized geometry
# - Formation energy from the elements: -0.025 eV per atom
# - Total energy: -9.477 eV per atom
# - Spin magnetization: 1.68 Bohr magnetons per cell
data_MnAlRe2
_cell_length_a 2.752
_cell_length_b 3.903
_cell_length_c 5.269
_cell_angle_alpha 90.00
_cell_angle_beta 90.00
_cell_angle_gamma 90.00
_symmetry_space_group_name_H-M 'P m m 2'
_symmetry_Int_Tables_number 25
loop_
_symmetry_equiv_pos_as_xyz
'x,y,z'
'-x,-y,z'
'-x,y,z'
'x,-y,z'
loop_
_atom_site_label
_atom_site_type_symbol
_atom_site_fract_x
_atom_site_fract_y
_atom_site_fract_z
_atom_site_occupancy
Mn1 Mn 0.000 0.000 0.000 1
Al1 Al 0.500 0.500 0.778 1
Re1 Re 0.000 0.000 0.513 1
Re2 Re 0.500 0.500 0.273 1